# 1
Here is an optimized crystal structure of RbMo3Pt from the Alexandria database. Energies are from PBE.

Lattice parameters (Å, degrees): 4.996 4.996 4.996 90.00 90.00 90.00
Space group Pm-3m (No. 221)
Inequivalent atoms, fractional coordinates:
1 Rb 0.000 0.000 0.000 x1
2 Mo 0.000 0.500 0.500 x3
3 Pt 0.500 0.500 0.500 x1

Values from the calculation:
V = 24.9 Å³ per atom
Relative energy among the computed polymorphs = 0.00 eV/f.u.
Formation energy from the elements = 1.87 eV/atom
Density = 7.6 g/cm3

***

# 2
Here is an optimized crystal structure of Tc2IrRu from the Alexandria database. Energies are from PBE.

Lattice parameters (Å, degrees): 6.174 6.174 6.174 90.00 90.00 90.00
Space group F-43m (No. 216)
Inequivalent atoms, fractional coordinates:
1 Tc 0.000 0.000 0.000 x4
2 Tc 0.250 0.250 0.250 x4
3 Ir 0.250 0.250 0.750 x4
4 Ru 0.000 0.000 0.500 x4

Values from the calculation:
V = 14.7 Å³ per atom
Relative energy among the computed polymorphs = 2.35 eV/f.u.
Formation energy from the elements = 0.39 eV/atom
Density = 13.8 g/cm3

***

# 3
Here is an optimized crystal structure of YTa2PdRu from the Alexandria database. Energies are from PBE.

Lattice parameters (Å, degrees): 4.944 4.944 4.716 90.00 90.00 90.00
Space group P4/mmm (No. 123)
Inequivalent atoms, fractional coordinates:
1 Y 0.000 0.000 0.000 x1
2 Ta 0.000 0.500 0.000 x2
3 Pd 0.000 0.000 0.500 x1
4 Ru 0.500 0.500 0.500 x1

Values from the calculation:
V = 23.1 Å³ per atom
Formation energy from the elements = 2.30 eV/atom
Density = 9.5 g/cm3

***

# 4
Here is an optimized crystal structure of SrAcTlI6 from the Alexandria database. Energies are from PBE.

Lattice parameters (Å, degrees): 8.4458 8.4458 15.1456 90.00 90.00 120.00
Space group P-31c (No. 163)
Inequivalent atoms, fractional coordinates:
1 Sr 0.3333 0.6667 0.2500 x2
2 Ac 0.3333 0.6667 0.7500 x2
3 Tl 0.0000 0.0000 0.0000 x2
4 I 0.0025 0.3585 0.6274 x12

Values from the calculation:
V = 52.0 Å³ per atom
Density = 4.5 g/cm3
ΔE_f (raw) = -1.40 eV/atom

***

# 5
Here is an optimized crystal structure of Rb3MgSe from the Alexandria database. Energies are from PBE.

Lattice parameters (Å, degrees): 6.677 6.677 6.677 90.00 90.00 90.00
Space group Pm-3m (No. 221)
Inequivalent atoms, fractional coordinates:
1 Rb 0.000 0.000 0.500 x3
2 Mg 0.500 0.500 0.500 x1
3 Se 0.000 0.000 0.000 x1

Values from the calculation:
V = 59.5 Å³ per atom
Relative energy among the computed polymorphs = 0.00 eV/f.u.
Density = 2.0 g/cm3
ΔE_f (raw) = -0.37 eV/atom

***

# 6
Here is an optimized crystal structure of BeZnSe2 from the Alexandria database. Energies are from PBE.

Lattice parameters (Å, degrees): 2.846 2.846 9.293 90.00 90.00 90.00
Space group P4mm (No. 99)
Inequivalent atoms, fractional coordinates:
1 Be 0.000 0.000 0.000 x1
2 Zn 0.500 0.500 0.811 x1
3 Se 0.000 0.000 0.555 x1
4 Se 0.500 0.500 0.159 x1

Values from the calculation:
V = 18.8 Å³ per atom
Relative energy among the computed polymorphs = 4.09 eV/f.u.
Density = 5.1 g/cm3
ΔE_f (raw) = 0.28 eV/atom

***

# 7
Here is an optimized crystal structure of Cd5AgHg from the Alexandria database. Energies are from PBE.

Lattice parameters (Å, degrees): 7.082 9.487 9.590 90.00 90.00 90.00
Space group Imma (No. 74)
Inequivalent atoms, fractional coordinates:
1 Cd 0.000 0.250 0.239 x4
2 Cd 0.210 0.250 0.508 x8
3 Cd 0.250 0.007 0.750 x8
4 Ag 0.000 0.250 0.767 x4
5 Hg 0.000 0.000 0.000 x4

Values from the calculation:
V = 23.0 Å³ per atom
Relative energy among the computed polymorphs = 0.00 eV/f.u.
Formation energy from the elements = 0.04 eV/atom
Density = 9.0 g/cm3

***

# 8
Here is an optimized crystal structure of KMg2SbRh from the Alexandria database. Energies are from PBE.

Lattice parameters (Å, degrees): 5.128 5.128 5.107 90.00 90.00 90.00
Space group P4/mmm (No. 123)
Inequivalent atoms, fractional coordinates:
1 K 0.000 0.000 0.000 x1
2 Mg 0.000 0.500 0.500 x2
3 Sb 0.500 0.500 0.000 x1
4 Rh 0.500 0.500 0.500 x1

Values from the calculation:
V = 26.9 Å³ per atom
Relative energy among the computed polymorphs = 0.00 eV/f.u.
Density = 3.9 g/cm3
ΔE_f (raw) = -0.26 eV/atom